Model P:
VASP calculation (PBE) on a relaxed NaGaSb crystal.

## Properties
Its symmetry is No. 216. The calculation puts the calculated density at 4.346 g cm⁻³. The calculation puts the density of states at the Fermi level at 2.27 states/eV per cell.

Lattice parameters (Å, degrees): 4.8755 4.8755 4.8755 60.00 60.00 60.00
Closest atoms and distances in Å follow each position.
Element x y z (fractional)
Sb 0.0000 0.0000 0.0000  4 Ga 2.99
Ga 0.2500 0.2500 0.2500  4 Na 2.99, 4 Sb 2.99
Na 0.5000 0.5000 0.5000  4 Ga 2.99

Model Q:
VASP calculation (PBE) on a relaxed NaGaSb crystal.

## Properties
Its symmetry is No. 63. The calculation puts the calculated density at 4.278 g cm⁻³. The calculation puts the density of states at the Fermi level at 2.62 states/eV per cell.

Lattice parameters (Å, degrees): 4.3840 4.2851 9.1298 90.00 103.89 90.00
Closest atoms and distances in Å follow each position.
Element x y z (fractional)
Na 0.6864 0.7500 0.3729  5 Sb 3.23-3.28, 2 Ga 3.39
Na 0.3136 0.2500 0.6271  5 Sb 3.23-3.28, 2 Ga 3.39
Ga 0.5385 0.2500 0.0770  2 Ga 2.54, 2 Sb 2.71
Ga 0.4615 0.7500 0.9230  2 Ga 2.54, 2 Sb 2.71
Sb 0.8713 0.7500 0.7426  2 Ga 2.71
Sb 0.1287 0.2500 0.2574  2 Ga 2.71

Model R:
VASP calculation (PBE) on a relaxed NaGaSb crystal.

## Properties
Its symmetry is No. 107. The calculation puts the calculated density at 4.621 g cm⁻³. The calculation puts the density of states at the Fermi level at 1.44 states/eV per cell.

Lattice parameters (Å, degrees): 3.7489 3.7489 6.0906 107.92 107.92 90.00
Closest atoms and distances in Å follow each position.
Element x y z (fractional)
Sb 0.9275 0.9275 0.8551  4 Ga 2.98
Ga 0.3033 0.3033 0.6065  4 Sb 2.98, 4 Na 3.33
Na 0.6192 0.6192 0.2384  5 Ga 3.33-3.46, 5 Sb 3.38

Among the structures shown above, model Q is the most stable, with the second-best lying 64 meV per atom higher.